# 1
In2SeCl | GGA-PBE | optimized geometry

```
4
Lattice="0.000 3.700 3.700 3.700 0.000 3.700 3.700 3.700 0.000" Properties=species:S:1:pos:R:3 pbc="T T T"
In 1.850 1.850 1.850
In 5.550 5.550 5.550
Se 0.000 0.000 0.000
Cl 3.700 3.700 3.700
```

E above lowest polymorph	116	meV/atom
D(E_F)	2.84	states/eV/f.u.
formation energy (no corrections)	-43	kJ per mole of atoms


# 2
BeCd2Te | GGA-PBE | optimized geometry

```
4
Lattice="1.895 -2.992 0.000 1.895 2.992 0.000 0.000 0.000 8.480" Properties=species:S:1:pos:R:3 pbc="T T T"
Be 0.000 0.000 0.000
Cd 0.000 0.000 4.252
Cd 1.895 0.000 6.613
Te 1.895 0.000 1.444
```

E above lowest polymorph	142	meV/atom
D(E_F)	2.44	states/eV/f.u.
formation energy (no corrections)	30	kJ per mole of atoms


# 3
Pm4Nd3Sm8 | GGA-PBE | optimized geometry

```
15
Lattice="6.828 -6.492 0.000 6.828 6.492 0.000 -3.492 0.000 5.965" Properties=species:S:1:pos:R:3 pbc="T T T"
Pm 0.000 0.000 0.000
Pm -1.746 0.000 2.982
Pm 3.414 3.246 0.000
Pm 3.414 -3.246 0.000
Nd 1.668 3.246 2.982
Nd 1.668 -3.246 2.982
Nd 6.828 0.000 0.000
Sm 6.828 3.169 0.000
Sm 3.529 0.000 0.160
Sm 1.892 0.000 2.997
Sm 5.082 1.865 2.982
Sm 5.082 -1.865 2.982
Sm 8.271 0.000 2.968
Sm 6.634 0.000 5.805
Sm 6.828 -3.169 0.000
```

E above lowest polymorph	212	meV/atom
formation energy	497	kJ/mol of formula units
D(E_F)	28.12	states/eV/f.u.